A plane-wave DFT calculation with GGA-PBE was carried out for GdHfZn after structural relaxation.

Cell lengths 4.8488, 4.8488, 3.4125 Å; angles 90.00, 90.00, 120.00 degrees
Element x y z (fractional)
Gd 0.0000 0.0000 0.0000
Hf 0.3333 0.6667 0.5018
Zn 0.6667 0.3333 0.4951

Total magnetization ... 7.17 μB/f.u.
Offset from the most stable computed form ... 180 meV/atom
D(E_F) ... 2.4 states/eV/f.u.
Crystal system ... trigonal
Space-group type ... P3m1 (156)
E_form ... 0.08 eV/atom